# 1
A relaxed structure of LiTbSi4. Source: Alexandria, functional PBE.

Lattice parameters (Å, degrees): 5.2121 5.2121 5.2121 60.00 60.00 60.00
Element x y z (fractional)
Li (0.0000, 0.0000, 0.0000)
Tb (0.2500, 0.2500, 0.2500)
Si (0.1182, 0.6273, 0.6273)
Si (0.6273, 0.1182, 0.6273)
Si (0.6273, 0.6273, 0.1182)
Si (0.6273, 0.6273, 0.6273)

Properties
Its space group is No. 216. The value obtained for the total energy is -4.975 eV per atom.


# 2
A relaxed structure of LiTb2Si. Source: Alexandria, functional PBE.

Lattice parameters (Å, degrees): 3.6797 3.6797 30.9709 90.00 90.00 120.00
Element x y z (fractional)
Li (0.0000, 0.0000, 0.0000)
Li (0.3333, 0.6667, 0.6667)
Li (0.6667, 0.3333, 0.3333)
Tb (0.0000, 0.0000, 0.1067)
Tb (0.0000, 0.0000, 0.8933)
Tb (0.3333, 0.6667, 0.5600)
Tb (0.3333, 0.6667, 0.7733)
Tb (0.6667, 0.3333, 0.2267)
Tb (0.6667, 0.3333, 0.4400)
Si (0.0000, 0.0000, 0.5000)
Si (0.3333, 0.6667, 0.1667)
Si (0.6667, 0.3333, 0.8333)

Properties
Its space group is No. 166. The value obtained for the total energy is -4.157 eV per atom.


# 3
A relaxed structure of Li4Tb3Si4. Source: Alexandria, functional PBE.

Lattice parameters (Å, degrees): 8.1480 8.1480 8.1480 149.38 132.11 57.92
Element x y z (fractional)
Li (0.0194, 0.8286, 0.1908)
Li (0.3622, 0.1714, 0.1908)
Li (0.6378, 0.8286, 0.8092)
Li (0.9806, 0.1714, 0.8092)
Tb (0.0000, 0.5000, 0.5000)
Tb (0.3707, 0.3707, 0.0000)
Tb (0.6293, 0.6293, 0.0000)
Si (0.2132, 0.7132, 0.5000)
Si (0.3192, 0.0000, 0.3192)
Si (0.6808, 0.0000, 0.6808)
Si (0.7868, 0.2868, 0.5000)

Properties
Its space group is No. 71. The value obtained for the total energy is -4.486 eV per atom.


# 4
A relaxed structure of LiTb3Si3. Source: Alexandria, functional PBE.

Lattice parameters (Å, degrees): 5.7447 5.7447 13.7810 108.84 108.84 43.73
Element x y z (fractional)
Li (0.2448, 0.2448, 0.4055)
Li (0.7552, 0.7552, 0.5945)
Tb (0.2545, 0.2545, 0.7787)
Tb (0.3950, 0.3950, 0.0762)
Tb (0.4656, 0.4656, 0.6202)
Tb (0.5344, 0.5344, 0.3798)
Tb (0.6050, 0.6050, 0.9238)
Tb (0.7455, 0.7455, 0.2213)
Si (0.0370, 0.0370, 0.2268)
Si (0.1099, 0.1099, 0.0755)
Si (0.1195, 0.1195, 0.5502)
Si (0.8805, 0.8805, 0.4498)
Si (0.8901, 0.8901, 0.9245)
Si (0.9630, 0.9630, 0.7732)

Properties
Its space group is No. 12. The value obtained for the total energy is -5.274 eV per atom.


# 5
A relaxed structure of Li2TbSi. Source: Alexandria, functional PBE.

Lattice parameters (Å, degrees): 6.4234 6.4234 6.4234 90.00 90.00 90.00
Element x y z (fractional)
Li (0.2500, 0.2500, 0.2500)
Li (0.2500, 0.2500, 0.7500)
Li (0.2500, 0.7500, 0.2500)
Li (0.2500, 0.7500, 0.7500)
Li (0.7500, 0.2500, 0.2500)
Li (0.7500, 0.2500, 0.7500)
Li (0.7500, 0.7500, 0.2500)
Li (0.7500, 0.7500, 0.7500)
Tb (0.0000, 0.0000, 0.0000)
Tb (0.0000, 0.5000, 0.5000)
Tb (0.5000, 0.0000, 0.5000)
Tb (0.5000, 0.5000, 0.0000)
Si (0.0000, 0.0000, 0.5000)
Si (0.0000, 0.5000, 0.0000)
Si (0.5000, 0.0000, 0.0000)
Si (0.5000, 0.5000, 0.5000)

Properties
Its space group is No. 225. The value obtained for the total energy is -3.750 eV per atom.


# 6
A relaxed structure of LiTbSi. Source: Alexandria, functional PBE.

Lattice parameters (Å, degrees): 7.0673 4.2710 12.0341 90.00 90.25 90.00
Element x y z (fractional)
Li (0.0014, 0.2500, 0.4106)
Li (0.1527, 0.7500, 0.9584)
Li (0.3461, 0.2500, 0.2971)
Li (0.6539, 0.7500, 0.7029)
Li (0.8473, 0.2500, 0.0416)
Li (0.9986, 0.7500, 0.5894)
Tb (0.0134, 0.7500, 0.1960)
Tb (0.3365, 0.2500, 0.5792)
Tb (0.4869, 0.2500, 0.8695)
Tb (0.5131, 0.7500, 0.1305)
Tb (0.6635, 0.7500, 0.4208)
Tb (0.9866, 0.2500, 0.8040)
Si (0.2340, 0.2500, 0.0714)
Si (0.2420, 0.7500, 0.4058)
Si (0.2687, 0.7500, 0.7482)
Si (0.7313, 0.2500, 0.2518)
Si (0.7580, 0.2500, 0.5942)
Si (0.7660, 0.7500, 0.9286)

Properties
Its space group is No. 11. The value obtained for the total energy is -4.568 eV per atom.


# 7
A relaxed structure of LiTbSi. Source: Alexandria, functional PBE.

Lattice parameters (Å, degrees): 3.9442 3.9442 8.1660 90.00 90.00 90.00
Element x y z (fractional)
Li (0.0000, 0.0000, 0.0000)
Li (0.5000, 0.5000, 0.5000)
Tb (0.0000, 0.0000, 0.6717)
Tb (0.5000, 0.5000, 0.1717)
Si (0.0000, 0.0000, 0.3134)
Si (0.5000, 0.5000, 0.8134)

Properties
Its space group is No. 107. The value obtained for the total energy is -4.166 eV per atom.


# 8
A relaxed structure of LiTbSi. Source: Alexandria, functional PBE.

Lattice parameters (Å, degrees): 6.5895 6.5895 6.5895 90.00 90.00 90.00
Element x y z (fractional)
Li (0.0000, 0.0000, 0.0000)
Li (0.0000, 0.5000, 0.5000)
Li (0.5000, 0.0000, 0.5000)
Li (0.5000, 0.5000, 0.0000)
Tb (0.0000, 0.0000, 0.5000)
Tb (0.0000, 0.5000, 0.0000)
Tb (0.5000, 0.0000, 0.0000)
Tb (0.5000, 0.5000, 0.5000)
Si (0.2500, 0.2500, 0.2500)
Si (0.2500, 0.7500, 0.7500)
Si (0.7500, 0.2500, 0.7500)
Si (0.7500, 0.7500, 0.2500)

Properties
Its space group is No. 216. The value obtained for the total energy is -4.412 eV per atom.